First-principles (PBE with a Hubbard U) data for Li2InMoO4 after structural relaxation, as listed in Alexandria. Values from VASP.

Calculated values
Total magnetic moment: 3.00 Bohr magnetons per cell
E_tot: -5.922 eV per atom

The structure in Quantum ESPRESSO input format:
```
&SYSTEM
  ibrav = 0, nat = 8, ntyp = 4
/
ATOMIC_SPECIES
Li 6.94 Li.upf
In 114.82 In.upf
Mo 95.94 Mo.upf
O 16.00 O.upf
ATOMIC_POSITIONS angstrom
Li -0.001 2.173 2.373
Li 0.000 0.000 0.000
In 2.173 0.001 2.373
Mo 2.172 2.175 0.000
O 2.173 0.001 4.599
O 2.173 0.001 0.148
O 2.172 2.175 2.185
O 0.000 0.000 2.562
CELL_PARAMETERS angstrom
4.346 0.003 0.000
-0.002 4.346 0.000
-2.172 -2.175 4.747
```